This record from Alexandria describes a relaxed Tb2Y3HoTm6 crystal. The functional is PBE-GGA.

Computed properties:
Formation energy from the elements ... 26 meV per atom
Size of the total moment ... 0.00 μB/f.u.
Uncorrected energy ... -4.979 eV/atom

Cell lengths 6.102, 6.102, 11.670 Å; angles 95.00, 95.00, 119.94 degrees
Element x y z (fractional)
Tm  0.416  0.083  0.249
Tm  0.083  0.416  0.249
Tb  0.667  0.333  0.000
Tm  0.250  0.250  0.751
Ho  0.000  0.000  0.000
Y  0.833  0.167  0.500
Tb  0.333  0.667  0.000
Tm  0.917  0.584  0.751
Y  0.500  0.500  0.500
Tm  0.750  0.750  0.249
Y  0.167  0.833  0.500
Tm  0.584  0.917  0.751